Cs2ZnTe2 | PBE-GGA | relaxed

- SG: No. 36
- DFT total energy: -2.690 eV/atom

Cell lengths 4.5997, 8.4152, 12.3364 Å; angles 90.00, 100.74, 90.00 degrees
Atoms (fractional coordinates):
Te  0.4195  0.1269  0.8391
Te  0.1653  0.0314  0.3306
Te  0.8347  0.5314  0.6694
Te  0.5805  0.6269  0.1609
Cs  0.0296  0.2965  0.0592
Cs  0.8007  0.0206  0.6015
Cs  0.1993  0.5206  0.3985
Cs  0.9704  0.7965  0.9408
Zn  0.6324  0.8902  0.2648
Zn  0.3676  0.3902  0.7352

***

CsZn3Te | PBE-GGA | relaxed

- SG: No. 221
- Density of states at the Fermi level: 3.1 states/eV/cell
- DFT total energy: -1.281 eV/atom

Cell lengths 5.7750, 5.7750, 5.7750 Å; angles 90.00, 90.00, 90.00 degrees
Atoms (fractional coordinates):
Zn  0.5000  0.0000  0.0000
Zn  0.0000  0.0000  0.5000
Zn  0.0000  0.5000  0.0000
Te  0.0000  0.0000  0.0000
Cs  0.5000  0.5000  0.5000

***

Cs2ZnTe | PBE-GGA | relaxed

- SG: No. 122
- Density of states at the Fermi level: 0.0 states/eV/cell
- DFT total energy: -1.830 eV/atom

Cell lengths 6.9806, 6.9806, 12.1496 Å; angles 73.31, 73.31, 90.00 degrees
Atoms (fractional coordinates):
Te  0.0000  0.0000  0.0000
Te  0.7500  0.2500  0.5000
Zn  0.2500  0.7500  0.5000
Zn  0.5000  0.5000  0.0000
Cs  0.1044  0.6250  0.2500
Cs  0.8750  0.8956  0.7500
Cs  0.6456  0.1250  0.2500
Cs  0.3750  0.3544  0.7500

***

CsZnTe | PBE-GGA | relaxed

- SG: No. 12
- DFT total energy: -2.388 eV/atom

Cell lengths 5.5726, 8.5618, 12.5752 Å; angles 90.00, 116.22, 90.00 degrees
Atoms (fractional coordinates):
Zn  0.2840  0.5000  0.5000
Zn  0.2840  0.0000  0.0000
Zn  0.7160  0.5000  0.5000
Zn  0.7160  0.0000  0.0000
Te  0.0000  0.2548  0.0000
Te  0.0000  0.7548  0.5000
Te  0.0000  0.2452  0.5000
Te  0.0000  0.7452  0.0000
Cs  0.6819  0.5000  0.1834
Cs  0.3181  0.0000  0.3166
Cs  0.6819  0.0000  0.6834
Cs  0.3181  0.5000  0.8166